No. 1
VASP calculation (PBE) on a relaxed structure of Sc3In3PdPt2.

- Spin magnetization: 0.019 μB/f.u.
- E: -5.82 eV/atom
- Space-group type: No. 189

abc: 7.676 7.676 3.457
angles: 90.00 90.00 120.00
Sites, in units of the cell vectors:
1 In 0.727 0.000 0.500
2 In 0.273 0.273 0.500
3 In 0.000 0.727 0.500
4 Pd 0.000 0.000 0.000
5 Pt 0.667 0.333 0.500
6 Pt 0.333 0.667 0.500
7 Sc 0.401 0.000 0.000
8 Sc 0.000 0.401 0.000
9 Sc 0.599 0.599 0.000

---

No. 2
VASP calculation (PBE) on a relaxed structure of SrNiH3.

- Spin magnetization: 0.001 μB/f.u.
- E: -3.88 eV/atom
- Space-group type: No. 221

abc: 3.649 3.649 3.649
angles: 90.00 90.00 90.00
Sites, in units of the cell vectors:
1 H 0.500 0.000 0.000
2 H 0.000 0.500 0.000
3 H 0.000 0.000 0.500
4 Ni 0.000 0.000 0.000
5 Sr 0.500 0.500 0.500

---

No. 3
VASP calculation (PBE) on a relaxed structure of Hf2ScOs.

- Spin magnetization: 1.267 μB/f.u.
- Energy relative to the elements: -0.050 eV per atom
- E: -9.42 eV/atom
- Space-group type: No. 216

abc: 4.744 4.744 4.744
angles: 60.00 60.00 60.00
Last column: magnetic moment on the atom in μB.
Sites, in units of the cell vectors:
1 Hf 0.000 0.000 0.000  0.53
2 Hf 0.250 0.250 0.250  0.23
3 Os 0.500 0.500 0.500  -0.05
4 Sc 0.750 0.750 0.750  0.23

---

No. 4
VASP calculation (PBE) on a relaxed structure of Hf2Bi2OsPt.

- Spin magnetization: 0.003 μB/f.u.
- E: -7.99 eV/atom
- Space-group type: No. 122

abc: 6.478 6.478 7.920
angles: 65.86 65.86 90.00
Sites, in units of the cell vectors:
1 Bi 0.625 0.120 0.250
2 Bi 0.125 0.630 0.250
3 Bi 0.370 0.375 0.750
4 Bi 0.880 0.875 0.750
5 Hf 0.125 0.120 0.250
6 Hf 0.625 0.630 0.250
7 Hf 0.370 0.875 0.750
8 Hf 0.880 0.375 0.750
9 Os 0.000 0.000 0.000
10 Os 0.250 0.750 0.500
11 Pt 0.500 0.500 0.000
12 Pt 0.750 0.250 0.500

---

No. 5
VASP calculation (PBE) on a relaxed structure of HfBeCo.

- Spin magnetization: 0.017 μB/f.u.
- E: -6.24 eV/atom
- Excess energy over the best structure of this formula in the dataset: 1.071 eV/atom
- Space-group type: No. 216

abc: 4.117 4.117 4.117
angles: 60.00 60.00 60.00
Sites, in units of the cell vectors:
1 Be 0.250 0.250 0.250
2 Co 0.750 0.750 0.750
3 Hf 0.000 0.000 0.000

---

No. 6
VASP calculation (PBE) on a relaxed structure of KTePtAuSe2.

- Spin magnetization: 0.002 μB/f.u.
- E: -3.82 eV/atom
- Space-group type: No. 63

abc: 8.505 8.505 10.967
angles: 90.00 90.00 154.53
Sites, in units of the cell vectors:
1 Au 0.893 0.107 0.250
2 Au 0.107 0.893 0.750
3 K 0.228 0.772 0.250
4 K 0.772 0.228 0.750
5 Pt 0.500 0.500 0.000
6 Pt 0.500 0.500 0.500
7 Se 0.898 0.102 0.024
8 Se 0.898 0.102 0.476
9 Se 0.102 0.898 0.524
10 Se 0.102 0.898 0.976
11 Te 0.549 0.451 0.250
12 Te 0.451 0.549 0.750

---

No. 7
VASP calculation (PBE) on a relaxed structure of PmAlAsO.

- Spin magnetization: 0.004 μB/f.u.
- E: -5.46 eV/atom
- Excess energy over the best structure of this formula in the dataset: 0.715 eV/atom
- Space-group type: No. 129

abc: 4.029 4.029 10.022
angles: 90.00 90.00 90.00
Sites, in units of the cell vectors:
1 Al 0.750 0.750 0.053
2 Al 0.250 0.250 0.947
3 As 0.750 0.750 0.289
4 As 0.250 0.250 0.711
5 O 0.750 0.250 0.000
6 O 0.250 0.750 0.000
7 Pm 0.750 0.250 0.500
8 Pm 0.250 0.750 0.500

---

No. 8
VASP calculation (PBE) on a relaxed structure of ZrInAu6.

- Spin magnetization: 0.011 μB/f.u.
- E: -4.14 eV/atom
- Space-group type: No. 25

abc: 4.934 6.005 5.085
angles: 90.00 90.00 90.00
Sites, in units of the cell vectors:
1 Au 0.500 0.500 0.152
2 Au 0.000 0.252 0.341
3 Au 0.000 0.748 0.341
4 Au 0.500 0.256 0.663
5 Au 0.500 0.744 0.663
6 Au 0.000 0.000 0.836
7 In 0.500 0.000 0.162
8 Zr 0.000 0.500 0.840